[1]
VASP calculation (PBE-GGA) on a geometry-optimized LiTiTeRu2 structure.

Output
SG	P4/mmm (123)
energy	-5.217	eV/atom
formation energy without anion corrections	1.083	eV per atom
calculated volume	117.1	Å³/cell

Cell: 4.844 4.844 4.989 Å, 90.00 90.00 90.00°
Positions (direct):
Li1 0.000 0.000 0.000
Ti1 0.500 0.500 0.000
Te1 0.500 0.500 0.500
Ru1 0.000 0.500 0.500
Ru2 0.500 0.000 0.500



[2]
VASP calculation (PBE-GGA) on a geometry-optimized Ba3Cd9Ga2 structure.

Output
SG	Immm (71)
energy	-1.698	eV/atom
energy of formation	-0.2656	eV/atom
calculated volume	392.4	Å³/cell

Cell: 9.334 9.334 9.334 Å, 147.37 114.31 75.30°
Positions (direct):
Ba1 0.000 0.000 0.000
Ba2 0.299 0.299 0.000
Ba3 0.701 0.701 0.000
Cd1 0.009 0.654 0.355
Cd2 0.148 0.860 0.287
Cd3 0.299 0.654 0.645
Cd4 0.427 0.140 0.287
Cd5 0.500 0.000 0.500
Cd6 0.573 0.860 0.713
Cd7 0.701 0.346 0.355
Cd8 0.852 0.140 0.713
Cd9 0.991 0.346 0.645
Ga1 0.323 0.500 0.823
Ga2 0.677 0.500 0.177



Please write out number 2 again, unchanged.
VASP calculation (PBE-GGA) on a geometry-optimized Ba3Cd9Ga2 structure.

Output
SG	Immm (71)
energy	-1.698	eV/atom
energy of formation	-0.2656	eV/atom
calculated volume	392.4	Å³/cell

Cell: 9.334 9.334 9.334 Å, 147.37 114.31 75.30°
Positions (direct):
Ba1 0.000 0.000 0.000
Ba2 0.299 0.299 0.000
Ba3 0.701 0.701 0.000
Cd1 0.009 0.654 0.355
Cd2 0.148 0.860 0.287
Cd3 0.299 0.654 0.645
Cd4 0.427 0.140 0.287
Cd5 0.500 0.000 0.500
Cd6 0.573 0.860 0.713
Cd7 0.701 0.346 0.355
Cd8 0.852 0.140 0.713
Cd9 0.991 0.346 0.645
Ga1 0.323 0.500 0.823
Ga2 0.677 0.500 0.177



Q: Among the records above, which one has the lowest energy?
A: LiTiTeRu2



Q: Which of these has the highest calculated volume?
A: Ba3Cd9Ga2



Q: Which of these has the highest energy?
A: Ba3Cd9Ga2